A plane-wave DFT calculation with PBE+U was carried out for a relaxed MnIO2 crystal.

Values from the calculation:
Electronic total energy, eV/atom: -3.981
Energy relative to the lowest polymorph listed for this composition, meV per atom: 1630.9

Cell lengths 9.1935, 9.1935, 9.1935 Å; angles 19.57, 19.57, 19.57 degrees
Positions (direct):
Mn  0.0000  0.0000  0.0000
I  0.5000  0.5000  0.5000
O  0.0599  0.0599  0.0599
O  0.9401  0.9401  0.9401